{"formula": "KSb2Pb", "functional": "PBE-GGA", "state": "relaxed", "lattice_angstrom": [[2.048, 1.183, 9.658], [-2.048, 1.183, 9.658], [0.000, -2.365, 9.658]], "species": ["K", "Sb", "Sb", "Pb"], "frac_coords": [[0.000, 0.000, 0.000], [0.238, 0.238, 0.238], [0.762, 0.762, 0.762], [0.500, 0.500, 0.500]], "e_form_raw_kj_per_mol_atoms": 2, "sg": "R-3m, No. 166"}



{"formula": "K3Sb3Pb2", "functional": "PBE-GGA", "state": "relaxed", "lattice_angstrom": [[10.911, 0.000, 0.000], [0.000, 16.715, 0.000], [0.000, 0.000, 7.020]], "species": ["K", "K", "K", "K", "K", "K", "K", "K", "K", "K", "K", "K", "Sb", "Sb", "Sb", "Sb", "Sb", "Sb", "Sb", "Sb", "Sb", "Sb", "Sb", "Sb", "Pb", "Pb", "Pb", "Pb", "Pb", "Pb", "Pb", "Pb"], "frac_coords": [[0.039, 0.113, 0.138], [0.039, 0.387, 0.138], [0.160, 0.250, 0.575], [0.340, 0.750, 0.075], [0.461, 0.613, 0.638], [0.461, 0.887, 0.638], [0.539, 0.113, 0.362], [0.539, 0.387, 0.362], [0.660, 0.250, 0.925], [0.840, 0.750, 0.425], [0.961, 0.613, 0.862], [0.961, 0.887, 0.862], [0.132, 0.046, 0.642], [0.132, 0.454, 0.642], [0.186, 0.750, 0.603], [0.314, 0.250, 0.103], [0.368, 0.546, 0.142], [0.368, 0.954, 0.142], [0.632, 0.046, 0.858], [0.632, 0.454, 0.858], [0.686, 0.750, 0.897], [0.814, 0.250, 0.397], [0.868, 0.546, 0.358], [0.868, 0.954, 0.358], [0.144, 0.597, 0.375], [0.144, 0.903, 0.375], [0.356, 0.097, 0.875], [0.356, 0.403, 0.875], [0.644, 0.597, 0.125], [0.644, 0.903, 0.125], [0.856, 0.097, 0.625], [0.856, 0.403, 0.625]], "e_form_raw_kj_per_mol_atoms": -24, "sg": "Pnma, No. 62"}



{"formula": "K2SbPb", "functional": "PBE-GGA", "state": "relaxed", "lattice_angstrom": [[3.552, -5.608, 0.000], [3.552, 5.608, 0.000], [0.000, 0.000, 3.380]], "species": ["K", "K", "Sb", "Pb"], "frac_coords": [[0.000, 0.500, 0.000], [0.500, 0.000, 0.000], [0.000, 0.000, 0.500], [0.500, 0.500, 0.500]], "e_above_lowest_polymorph_ev_per_atom": 0.128, "e_form_raw_kj_per_mol_atoms": -17, "sg": "Cmmm, No. 65"}



{"formula": "KSbPb2", "functional": "PBE-GGA", "state": "relaxed", "lattice_angstrom": [[3.479, 0.000, 0.000], [0.000, 5.701, 0.000], [-0.494, 0.000, 6.711]], "species": ["K", "Sb", "Pb", "Pb"], "frac_coords": [[0.000, 0.000, 0.000], [0.481, 0.500, 0.762], [0.384, 0.000, 0.513], [0.784, 0.500, 0.336]], "e_form_raw_kj_per_mol_atoms": -12, "sg": "Pm, No. 6"}



{"formula": "KSb2Pb", "functional": "PBE-GGA", "state": "relaxed", "lattice_angstrom": [[5.504, -2.068, 0.000], [5.504, 2.068, 0.000], [-1.639, 0.000, 6.077]], "species": ["K", "Sb", "Sb", "Pb"], "frac_coords": [[0.000, 0.000, 0.000], [0.486, 0.486, 0.477], [0.766, 0.766, 0.333], [0.228, 0.228, 0.674]], "e_form_raw_kj_per_mol_atoms": -15, "sg": "Cm, No. 8"}



{"formula": "KSb2Pb", "functional": "PBE-GGA", "state": "relaxed", "lattice_angstrom": [[3.363, 0.000, 0.000], [0.000, 5.723, 0.000], [0.000, 0.000, 6.632]], "species": ["K", "Sb", "Sb", "Pb"], "frac_coords": [[0.000, 0.000, 0.000], [0.500, 0.000, 0.487], [0.500, 0.500, 0.271], [0.500, 0.500, 0.731]], "e_form_raw_kj_per_mol_atoms": -11, "sg": "Pmm2, No. 25"}



{"formula": "KSbPb2", "functional": "PBE-GGA", "state": "relaxed", "lattice_angstrom": [[3.550, 0.000, 0.000], [0.000, 3.550, 0.000], [0.000, 0.000, 10.437]], "species": ["K", "Sb", "Pb", "Pb"], "frac_coords": [[0.000, 0.000, 0.000], [0.500, 0.500, 0.747], [0.000, 0.000, 0.516], [0.500, 0.500, 0.282]], "e_form_raw_kj_per_mol_atoms": -5, "sg": "P4mm, No. 99"}



{"formula": "KSbPb", "functional": "PBE-GGA", "state": "relaxed", "lattice_angstrom": [[0.000, 3.923, 3.923], [3.923, 0.000, 3.923], [3.923, 3.923, 0.000]], "species": ["K", "Sb", "Pb"], "frac_coords": [[0.000, 0.000, 0.000], [0.750, 0.750, 0.750], [0.500, 0.500, 0.500]], "e_form_raw_kj_per_mol_atoms": -16, "sg": "F-43m, No. 216"}



{"formula": "KSb2Pb", "functional": "PBE-GGA", "state": "relaxed", "lattice_angstrom": [[2.091, 1.207, 9.562], [-2.091, 1.207, 9.562], [0.000, -2.414, 9.562]], "species": ["K", "Sb", "Sb", "Pb"], "frac_coords": [[0.000, 0.000, 0.000], [0.488, 0.488, 0.488], [0.762, 0.762, 0.762], [0.230, 0.230, 0.230]], "e_form_raw_kj_per_mol_atoms": -1, "sg": "R3m, No. 160"}



{"formula": "KSb2Pb", "functional": "PBE-GGA", "state": "relaxed", "lattice_angstrom": [[3.491, -5.132, 0.000], [3.491, 5.132, 0.000], [-0.009, 0.000, 3.419]], "species": ["K", "Sb", "Sb", "Pb"], "frac_coords": [[0.000, 0.000, 0.000], [0.000, 0.500, 0.500], [0.500, 0.000, 0.500], [0.500, 0.500, 0.000]], "e_form_raw_kj_per_mol_atoms": -9, "sg": "C2/m, No. 12"}



{"formula": "KSbPb2", "functional": "PBE-GGA", "state": "relaxed", "lattice_angstrom": [[-2.497, 2.497, 5.118], [2.497, -2.497, 5.118], [2.497, 2.497, -5.118]], "species": ["K", "Sb", "Pb", "Pb"], "frac_coords": [[0.000, 0.000, 0.000], [0.500, 0.500, 0.000], [0.250, 0.750, 0.500], [0.750, 0.250, 0.500]], "e_form_raw_kj_per_mol_atoms": -5, "sg": "I4/mmm, No. 139"}



{"formula": "K2SbPb", "functional": "PBE-GGA", "state": "relaxed", "lattice_angstrom": [[6.258, -2.818, 0.000], [6.258, 2.818, 0.000], [-2.887, 0.000, 5.283]], "species": ["K", "K", "Sb", "Pb"], "frac_coords": [[0.000, 0.000, 0.000], [0.634, 0.634, 0.634], [0.317, 0.317, 0.613], [0.317, 0.317, 0.116]], "e_above_lowest_polymorph_ev_per_atom": 0.151, "e_form_raw_kj_per_mol_atoms": -15, "sg": "Cm, No. 8"}



no.,total magnetic moment (μB/f.u.)
1,0.00
2,0.00
3,0.00
4,0.00
5,0.00
6,0.00
7,0.00
8,0.00
9,0.00
10,0.00
11,0.00
12,0.00